Here is CeMg11Rh after structural relaxation from Alexandria. Energies are from PBE.

Values from the calculation:
* energy: -2.481 eV per atom

a = 5.639 Å, b = 14.355 Å, c = 7.688 Å
α = 90.00°, β = 110.62°, γ = 90.00°
Space group C2/m (No. 12)
Inequivalent atoms, fractional coordinates:
Ce1 0.000 0.000 0.000
Mg1 0.000 0.000 0.500
Mg2 0.096 0.398 0.222
Mg3 0.195 0.167 0.362
Mg4 0.250 0.250 0.000
Rh1 0.000 0.500 0.500

Here is CeMgRh after structural relaxation from Alexandria. Energies are from PBE.

Values from the calculation:
* energy: -5.333 eV per atom

a = 6.632 Å, b = 6.632 Å, c = 6.632 Å
α = 90.00°, β = 90.00°, γ = 90.00°
Space group F-43m (No. 216)
Inequivalent atoms, fractional coordinates:
Ce1 0.000 0.000 0.000
Mg1 0.000 0.000 0.500
Rh1 0.250 0.250 0.750

| no. | energy of formation from the pure elements (eV per atom) |
| --- | --- |
| 1 | -0.1098 |
| 2 | -0.3735 |